[1]
Here is a geometry-optimized Nd12Dy7Tm structure from Alexandria via LeMat-Bulk. Energies are from PBE-GGA.

Unit cell a=8.830 b=8.830 c=8.830 alpha=87.96 beta=87.96 gamma=87.96
Element x y z (fractional)
Nd 0.852 0.256 0.727
Nd 0.744 0.273 0.148
Nd 0.612 0.139 0.489
Nd 0.861 0.511 0.388
Nd 0.273 0.148 0.744
Nd 0.511 0.388 0.861
Nd 0.489 0.612 0.139
Nd 0.727 0.852 0.256
Nd 0.139 0.489 0.612
Nd 0.388 0.861 0.511
Nd 0.256 0.727 0.852
Nd 0.148 0.744 0.273
Dy 0.853 0.611 0.931
Dy 0.389 0.069 0.147
Dy 0.069 0.147 0.389
Dy 0.500 0.500 0.500
Dy 0.931 0.853 0.611
Dy 0.611 0.931 0.853
Dy 0.147 0.389 0.069
Tm 0.000 0.000 0.000

Values from the calculation:
distance to the lowest polymorph of the same formula = 2 meV/atom
V = 687.2 Å³ per cell
energy relative to the elements = 228.5 meV per atom
density of states at the Fermi level = 1.956 states/eV/atom
density = 7.339 g/cm³



[2]
Here is a geometry-optimized Ba2Na4Ca5 structure from Alexandria via LeMat-Bulk. Energies are from PBE-GGA.

Unit cell a=7.450 b=8.967 c=9.006 alpha=74.11 beta=65.57 gamma=65.46
Element x y z (fractional)
Ba 0.311 0.687 0.690
Ba 0.689 0.313 0.310
Na 0.245 0.092 0.417
Na 0.755 0.908 0.583
Na 0.754 0.588 0.905
Na 0.246 0.412 0.095
Ca 0.245 0.180 0.819
Ca 0.755 0.820 0.181
Ca 0.000 0.500 0.500
Ca 0.755 0.180 0.819
Ca 0.245 0.820 0.181

Values from the calculation:
V = 494.5 Å³ per cell
energy relative to the elements = 80.5 meV per atom
density of states at the Fermi level = 1.010 states/eV/atom
density = 1.904 g/cm³



[3]
Here is a geometry-optimized Ru3Cl structure from Alexandria via LeMat-Bulk. Energies are from PBE-GGA.

Unit cell a=4.921 b=4.921 c=4.921 alpha=116.17 beta=116.17 gamma=116.17
Element x y z (fractional)
Cl 0.000 0.000 0.000
Ru 0.500 0.000 0.500
Ru 0.500 0.500 0.000
Ru 0.000 0.500 0.500

Values from the calculation:
distance to the lowest polymorph of the same formula = 594 meV/atom
raw formation energy = 1.0158 eV/atom
V = 59.0 Å³ per cell
density of states at the Fermi level = 1.685 states/eV/atom
density = 9.538 g/cm³



[4]
Here is a geometry-optimized CeGa2Ag2 structure from Alexandria via LeMat-Bulk. Energies are from PBE-GGA.

Unit cell a=4.258 b=4.310 c=11.666 alpha=100.68 beta=100.51 gamma=90.00
Site moments in Bohr magnetons follow the coordinates.
Element x y z (fractional)
Ce 0.832 0.582 0.664  0.72
Ce 0.168 0.418 0.336  0.72
Ga 0.723 0.973 0.446  -0.01
Ga 0.277 0.027 0.554  -0.01
Ga 0.386 0.136 0.773  0.02
Ga 0.614 0.864 0.227  0.02
Ag 0.545 0.296 0.091  0.01
Ag 0.955 0.205 0.910  0.01
Ag 0.455 0.704 0.909  0.01
Ag 0.045 0.795 0.090  0.01

Values from the calculation:
V = 206.7 Å³ per cell
energy relative to the elements = -321.2 meV per atom
density of states at the Fermi level = 1.428 states/eV/atom
density = 7.958 g/cm³



[5]
Here is a geometry-optimized K2TcAg structure from Alexandria via LeMat-Bulk. Energies are from PBE-GGA.

Unit cell a=5.706 b=2.807 c=5.961 alpha=84.33 beta=90.00 gamma=90.00
Site moments in Bohr magnetons follow the coordinates.
Element x y z (fractional)
Ag 0.500 0.750 0.750  0.00
K 0.000 0.939 0.002  -0.01
K 0.000 0.561 0.498  -0.01
Tc 0.500 0.250 0.250  0.90

Values from the calculation:
distance to the lowest polymorph of the same formula = 246 meV/atom
V = 95.0 Å³ per cell
energy relative to the elements = 1086.0 meV per atom
density of states at the Fermi level = 0.613 states/eV/atom
density = 4.965 g/cm³



[6]
Here is a geometry-optimized Li2CoPt structure from Alexandria via LeMat-Bulk. Energies are from PBE-GGA.

Unit cell a=9.208 b=9.208 c=9.208 alpha=16.90 beta=16.90 gamma=16.90
Site moments in Bohr magnetons follow the coordinates.
Element x y z (fractional)
Co 0.752 0.752 0.752  1.73
Li 0.007 0.007 0.007  -0.04
Li 0.243 0.243 0.243  -0.02
Pt 0.498 0.498 0.498  0.14

Values from the calculation:
distance to the lowest polymorph of the same formula = 187 meV/atom
V = 57.5 Å³ per cell
energy relative to the elements = -58.4 meV per atom
density of states at the Fermi level = 0.934 states/eV/atom
density = 7.732 g/cm³



[7]
Here is a geometry-optimized Ca2BeRhO5 structure from Alexandria via LeMat-Bulk. Energies are from PBE-GGA.

Unit cell a=3.143 b=6.770 c=10.007 alpha=90.00 beta=90.00 gamma=103.42
Site moments in Bohr magnetons follow the coordinates.
Element x y z (fractional)
Ca 0.871 0.742 0.829  0.00
Ca 0.093 0.185 0.666  0.00
Ca 0.129 0.258 0.329  0.00
Ca 0.907 0.815 0.166  0.00
Be 0.558 0.115 0.926  0.00
Be 0.442 0.885 0.426  0.00
Rh 0.796 0.593 0.534  0.60
Rh 0.204 0.407 0.034  0.60
O 0.354 0.708 0.009  0.08
O 0.687 0.374 0.903  0.02
O 0.501 0.002 0.788  0.02
O 0.289 0.578 0.662  0.17
O 0.952 0.903 0.507  0.04
O 0.646 0.292 0.509  0.08
O 0.313 0.626 0.403  0.02
O 0.499 0.998 0.288  0.02
O 0.711 0.422 0.162  0.17
O 0.048 0.097 0.007  0.04

Values from the calculation:
raw formation energy = -2.1450 eV/atom
V = 207.1 Å³ per cell
density of states at the Fermi level = 0.152 states/eV/atom
density = 4.363 g/cm³



[8]
Here is a geometry-optimized Ac3Sn4Ir4 structure from Alexandria via LeMat-Bulk. Energies are from PBE-GGA.

Unit cell a=4.512 b=4.586 c=13.994 alpha=99.43 beta=99.28 gamma=90.00
Element x y z (fractional)
Ac 0.353 0.853 0.705
Ac 0.647 0.147 0.295
Ac 0.000 0.000 0.000
Sn 0.250 0.250 0.499
Sn 0.099 0.599 0.198
Sn 0.901 0.401 0.802
Sn 0.750 0.750 0.501
Ir 0.804 0.304 0.609
Ir 0.455 0.455 0.910
Ir 0.545 0.545 0.090
Ir 0.196 0.696 0.391

Values from the calculation:
distance to the lowest polymorph of the same formula = 42 meV/atom
V = 281.8 Å³ per cell
energy relative to the elements = -599.5 meV per atom
density of states at the Fermi level = 0.713 states/eV/atom
density = 11.341 g/cm³